# Mg3CdGa7, optimized geometry, DFT GGA-PBE
# ΔE_f: 0.028 eV/atom
# Magnetic moment: 0.0000 μB per atom
# DOS at the Fermi energy: 4.76 states/eV/f.u.
data_Mg3CdGa7
_cell_length_a 3.015
_cell_length_b 30.263
_cell_length_c 11.463
_cell_angle_alpha 90.00
_cell_angle_beta 90.00
_cell_angle_gamma 90.00
_space_group_name_H-M_alt 'C m c m'
_space_group_IT_number 63
_space_group_name_Hall '-C 2c 2'
loop_
_atom_site_label
_atom_site_type_symbol
_atom_site_fract_x
_atom_site_fract_y
_atom_site_fract_z
_atom_site_occupancy
Mg1 Mg 0.000 0.066 0.038 1
Mg2 Mg 0.000 0.193 0.750 1
Cd1 Cd 0.000 0.094 0.750 1
Ga1 Ga 0.000 0.275 0.061 1
Ga2 Ga 0.000 0.360 0.046 1
Ga3 Ga 0.000 0.433 0.750 1
Ga4 Ga 0.000 0.486 0.131 1